! NaCa2BiN, relaxed, DFT PBE-GGA; values from VASP
&SYSTEM
  ibrav = 0, nat = 5, ntyp = 4
/
ATOMIC_SPECIES
Na 22.99 Na.upf
Ca 40.08 Ca.upf
Bi 208.98 Bi.upf
N 14.01 N.upf
CELL_PARAMETERS angstrom
4.868 0.000 0.000
0.000 4.868 0.000
0.000 0.000 4.945
ATOMIC_POSITIONS crystal
Na 0.000 0.000 0.000
Ca 0.000 0.500 0.500
Ca 0.500 0.000 0.500
Bi 0.500 0.500 0.000
N 0.000 0.000 0.500
! - ΔE_f (raw): -2.98 eV per formula unit
! - Crystal system: tetragonal
! - Space group: P4/mmm, No. 123